# TaAlV2Ge (PBE, optimized geometry)
# formation energy from the elements	0.968	eV per atom
# density	7.1	g cm⁻³
# energy relative to the lowest polymorph listed for this composition	0.0000	eV per atom
data_TaAlV2Ge
_chemical_formula_sum 'Ta1 Al1 V2 Ge1'
_cell_length_a 4.5006
_cell_length_b 4.5006
_cell_length_c 4.4326
_cell_angle_alpha 90.00
_cell_angle_beta 90.00
_cell_angle_gamma 90.00
_symmetry_space_group_name_H-M 'P 4/m m m'
_symmetry_Int_Tables_number 123
_symmetry_space_group_name_Hall '-P 4 2'
loop_
_atom_site_label
_atom_site_type_symbol
_atom_site_fract_x
_atom_site_fract_y
_atom_site_fract_z
_atom_site_occupancy
Ta1 Ta 0.0000 0.0000 0.0000 1
Al1 Al 0.5000 0.5000 0.0000 1
V1 V 0.0000 0.5000 0.5000 1
Ge1 Ge 0.5000 0.5000 0.5000 1

***

# V4Re3Ru2 (PBE, optimized geometry)
# formation energy from the elements	-0.224	eV per atom
# density	12.7	g cm⁻³
data_V4Re3Ru2
_chemical_formula_sum 'V4 Re3 Ru2'
_cell_length_a 4.2953
_cell_length_b 4.2953
_cell_length_c 7.8910
_cell_angle_alpha 90.00
_cell_angle_beta 90.00
_cell_angle_gamma 120.00
_symmetry_space_group_name_H-M 'P -3 m 1'
_symmetry_Int_Tables_number 164
_symmetry_space_group_name_Hall '-P 3 2"'
loop_
_atom_site_label
_atom_site_type_symbol
_atom_site_fract_x
_atom_site_fract_y
_atom_site_fract_z
_atom_site_occupancy
V1 V 0.0000 0.0000 0.1623 1
V2 V 0.3333 0.6667 0.3904 1
Re1 Re 0.0000 0.0000 0.5000 1
Re2 Re 0.3333 0.6667 0.0667 1
Ru1 Ru 0.3333 0.6667 0.7175 1

***

# CrRh (PBE, optimized geometry)
# formation energy from the elements	0.077	eV per atom
# density	9.8	g cm⁻³
data_CrRh
_chemical_formula_sum 'Cr6 Rh6'
_cell_length_a 2.6670
_cell_length_b 2.6670
_cell_length_c 25.6897
_cell_angle_alpha 90.00
_cell_angle_beta 90.00
_cell_angle_gamma 120.00
_symmetry_space_group_name_H-M 'R -3 m'
_symmetry_Int_Tables_number 166
_symmetry_space_group_name_Hall '-R 3 2"'
loop_
_atom_site_label
_atom_site_type_symbol
_atom_site_fract_x
_atom_site_fract_y
_atom_site_fract_z
_atom_site_occupancy
Cr1 Cr 0.0000 0.0000 0.1246 1
Rh1 Rh 0.0000 0.0000 0.3804 1

***

# SrLi3Bi4O12 (PBE, optimized geometry)
# density	7.0	g cm⁻³
# ΔE_f (raw)	-1.336	eV per atom
data_SrLi3Bi4O12
_chemical_formula_sum 'Sr2 Li6 Bi8 O24'
_cell_length_a 8.1228
_cell_length_b 8.1228
_cell_length_c 8.1228
_cell_angle_alpha 90.00
_cell_angle_beta 90.00
_cell_angle_gamma 90.00
_symmetry_space_group_name_H-M 'I m -3'
_symmetry_Int_Tables_number 204
_symmetry_space_group_name_Hall '-I 2 2 3'
loop_
_atom_site_label
_atom_site_type_symbol
_atom_site_fract_x
_atom_site_fract_y
_atom_site_fract_z
_atom_site_occupancy
Sr1 Sr 0.0000 0.0000 0.0000 1
Li1 Li 0.0000 0.0000 0.5000 1
Bi1 Bi 0.2500 0.2500 0.2500 1
O1 O 0.0000 0.1723 0.3026 1

***

# CaMg2InH (PBE, optimized geometry)
# raw total energy	-2.474	eV/atom
# density	3.4	g cm⁻³
data_CaMg2InH
_chemical_formula_sum 'Ca1 Mg2 In1 H1'
_cell_length_a 4.7150
_cell_length_b 4.7150
_cell_length_c 4.5192
_cell_angle_alpha 90.00
_cell_angle_beta 90.00
_cell_angle_gamma 90.00
_symmetry_space_group_name_H-M 'P 4/m m m'
_symmetry_Int_Tables_number 123
_symmetry_space_group_name_Hall '-P 4 2'
loop_
_atom_site_label
_atom_site_type_symbol
_atom_site_fract_x
_atom_site_fract_y
_atom_site_fract_z
_atom_site_occupancy
Ca1 Ca 0.0000 0.0000 0.0000 1
Mg1 Mg 0.0000 0.5000 0.5000 1
In1 In 0.5000 0.5000 0.0000 1
H1 H 0.0000 0.0000 0.5000 1

***

# HoTmTcAg (PBE, optimized geometry)
# formation energy from the elements	-0.159	eV per atom
# density	10.6	g cm⁻³
data_HoTmTcAg
_chemical_formula_sum 'Ho4 Tm4 Tc4 Ag4'
_cell_length_a 6.9653
_cell_length_b 6.9653
_cell_length_c 6.9653
_cell_angle_alpha 90.00
_cell_angle_beta 90.00
_cell_angle_gamma 90.00
_symmetry_space_group_name_H-M 'F -4 3 m'
_symmetry_Int_Tables_number 216
_symmetry_space_group_name_Hall 'F -4 2 3'
loop_
_atom_site_label
_atom_site_type_symbol
_atom_site_fract_x
_atom_site_fract_y
_atom_site_fract_z
_atom_site_occupancy
Ho1 Ho 0.0000 0.0000 0.0000 1
Tm1 Tm 0.0000 0.0000 0.5000 1
Tc1 Tc 0.2500 0.2500 0.2500 1
Ag1 Ag 0.2500 0.2500 0.7500 1

***

# AcEuMgIn (PBE, optimized geometry)
# formation energy from the elements	-0.289	eV per atom
# density	6.5	g cm⁻³
data_AcEuMgIn
_chemical_formula_sum 'Ac4 Eu4 Mg4 In4'
_cell_length_a 8.0920
_cell_length_b 8.0920
_cell_length_c 8.0920
_cell_angle_alpha 90.00
_cell_angle_beta 90.00
_cell_angle_gamma 90.00
_symmetry_space_group_name_H-M 'F -4 3 m'
_symmetry_Int_Tables_number 216
_symmetry_space_group_name_Hall 'F -4 2 3'
loop_
_atom_site_label
_atom_site_type_symbol
_atom_site_fract_x
_atom_site_fract_y
_atom_site_fract_z
_atom_site_occupancy
Ac1 Ac 0.0000 0.0000 0.0000 1
Eu1 Eu 0.0000 0.0000 0.5000 1
Mg1 Mg 0.2500 0.2500 0.7500 1
In1 In 0.2500 0.2500 0.2500 1

***

# BiAsRh3 (PBE, optimized geometry)
# formation energy from the elements	1.326	eV per atom
# density	8.1	g cm⁻³
# energy relative to the lowest polymorph listed for this composition	1.1413	eV per atom
data_BiAsRh3
_chemical_formula_sum 'Bi1 As1 Rh3'
_cell_length_a 4.9492
_cell_length_b 4.9492
_cell_length_c 4.9492
_cell_angle_alpha 90.00
_cell_angle_beta 90.00
_cell_angle_gamma 90.00
_symmetry_space_group_name_H-M 'P m -3 m'
_symmetry_Int_Tables_number 221
_symmetry_space_group_name_Hall '-P 4 2 3'
loop_
_atom_site_label
_atom_site_type_symbol
_atom_site_fract_x
_atom_site_fract_y
_atom_site_fract_z
_atom_site_occupancy
Bi1 Bi 0.0000 0.0000 0.0000 1
As1 As 0.5000 0.5000 0.5000 1
Rh1 Rh 0.0000 0.0000 0.5000 1

***

- What is the density in the eighth record?
  8.1 g cm⁻³